# 1
DFT (PBE) results for an optimized crystal structure of CaIr3.

```
data_CaIr3
_cell_length_a 4.0230
_cell_length_b 4.0230
_cell_length_c 8.0988
_cell_angle_alpha 90.00
_cell_angle_beta 90.00
_cell_angle_gamma 90.00
_symmetry_space_group_name_H-M 'I 4/m m m'
_symmetry_Int_Tables_number 139
_symmetry_space_group_name_Hall '-I 4 2'
loop_
_atom_site_label
_atom_site_type_symbol
_atom_site_fract_x
_atom_site_fract_y
_atom_site_fract_z
_atom_site_occupancy
Ca1 Ca 0.0000 0.0000 0.0000 1
Ir1 Ir 0.0000 0.0000 0.5000 1
Ir2 Ir 0.0000 0.5000 0.2500 1
```

Calculated values
DOS at the Fermi energy in states/eV/cell: 5.59
E_form in eV per formula unit: 0.5

# 2
DFT (PBE) results for an optimized crystal structure of Ca3Ir.

```
data_Ca3Ir
_cell_length_a 4.1162
_cell_length_b 4.1162
_cell_length_c 28.7293
_cell_angle_alpha 90.00
_cell_angle_beta 90.00
_cell_angle_gamma 120.00
_symmetry_space_group_name_H-M 'R -3 m'
_symmetry_Int_Tables_number 166
_symmetry_space_group_name_Hall '-R 3 2"'
loop_
_atom_site_label
_atom_site_type_symbol
_atom_site_fract_x
_atom_site_fract_y
_atom_site_fract_z
_atom_site_occupancy
Ca1 Ca 0.0000 0.0000 0.0000 1
Ca2 Ca 0.0000 0.0000 0.2177 1
Ir1 Ir 0.0000 0.0000 0.5000 1
```

Calculated values
DOS at the Fermi energy in states/eV/cell: 7.39
E_form in eV per formula unit: 0.0

# 3
DFT (PBE) results for an optimized crystal structure of Ca3Ir.

```
data_Ca3Ir
_cell_length_a 7.3966
_cell_length_b 7.3966
_cell_length_c 7.3966
_cell_angle_alpha 90.00
_cell_angle_beta 90.00
_cell_angle_gamma 90.00
_symmetry_space_group_name_H-M 'F m -3 m'
_symmetry_Int_Tables_number 225
_symmetry_space_group_name_Hall '-F 4 2 3'
loop_
_atom_site_label
_atom_site_type_symbol
_atom_site_fract_x
_atom_site_fract_y
_atom_site_fract_z
_atom_site_occupancy
Ca1 Ca 0.0000 0.0000 0.0000 1
Ca2 Ca 0.2500 0.2500 0.2500 1
Ir1 Ir 0.0000 0.0000 0.5000 1
```

Calculated values
DOS at the Fermi energy in states/eV/cell: 17.21
E_form in eV per formula unit: 0.0

# 4
DFT (PBE) results for an optimized crystal structure of Ca3Ir.

```
data_Ca3Ir
_cell_length_a 10.2018
_cell_length_b 10.2018
_cell_length_c 3.4878
_cell_angle_alpha 90.00
_cell_angle_beta 90.00
_cell_angle_gamma 120.00
_symmetry_space_group_name_H-M 'R -3 m'
_symmetry_Int_Tables_number 166
_symmetry_space_group_name_Hall '-R 3 2"'
loop_
_atom_site_label
_atom_site_type_symbol
_atom_site_fract_x
_atom_site_fract_y
_atom_site_fract_z
_atom_site_occupancy
Ca1 Ca 0.0000 0.5000 0.0000 1
Ir1 Ir 0.0000 0.0000 0.0000 1
```

Calculated values
DOS at the Fermi energy in states/eV/cell: 8.33
E_form in eV per formula unit: 1.0

# 5
DFT (PBE) results for an optimized crystal structure of Ca13Ir2.

```
data_Ca13Ir2
_cell_length_a 6.8138
_cell_length_b 8.8246
_cell_length_c 10.4615
_cell_angle_alpha 65.24
_cell_angle_beta 84.04
_cell_angle_gamma 82.44
_symmetry_space_group_name_H-M 'P -1'
_symmetry_Int_Tables_number 2
loop_
_symmetry_equiv_pos_as_xyz
'x,y,z'
'-x,-y,-z'
loop_
_atom_site_label
_atom_site_type_symbol
_atom_site_fract_x
_atom_site_fract_y
_atom_site_fract_z
_atom_site_occupancy
Ca1 Ca 0.0000 0.0000 0.0000 1
Ca2 Ca 0.0798 0.8487 0.6927 1
Ca3 Ca 0.1505 0.6932 0.3843 1
Ca4 Ca 0.2298 0.5403 0.0759 1
Ca5 Ca 0.3057 0.3822 0.7695 1
Ca6 Ca 0.3809 0.2287 0.4642 1
Ca7 Ca 0.4626 0.0745 0.1550 1
Ir1 Ir 0.1937 0.1159 0.7296 1
```

Calculated values
DOS at the Fermi energy in states/eV/cell: 11.76
E_form in eV per formula unit: -2.5

# 6
DFT (PBE) results for an optimized crystal structure of Ca5Ir.

```
data_Ca5Ir
_cell_length_a 7.6561
_cell_length_b 15.6690
_cell_length_c 6.7616
_cell_angle_alpha 90.00
_cell_angle_beta 90.00
_cell_angle_gamma 90.00
_symmetry_space_group_name_H-M 'P n m a'
_symmetry_Int_Tables_number 62
loop_
_symmetry_equiv_pos_as_xyz
'x,y,z'
'-x,-y,-z'
'-x+1/2,-y,z+1/2'
'x+1/2,y,-z+1/2'
'x+1/2,-y+1/2,-z+1/2'
'-x+1/2,y+1/2,z+1/2'
'-x,y+1/2,-z'
'x,-y+1/2,z'
loop_
_atom_site_label
_atom_site_type_symbol
_atom_site_fract_x
_atom_site_fract_y
_atom_site_fract_z
_atom_site_occupancy
Ca1 Ca 0.0343 0.1444 0.1751 1
Ca2 Ca 0.0951 0.7500 0.3489 1
Ca3 Ca 0.1919 0.0665 0.6418 1
Ir1 Ir 0.2390 0.2500 0.4638 1
```

Calculated values
DOS at the Fermi energy in states/eV/cell: 15.80
E_form in eV per formula unit: -1.4

# 7
DFT (PBE) results for an optimized crystal structure of CaIr3.

```
data_CaIr3
_cell_length_a 5.7631
_cell_length_b 5.7631
_cell_length_c 4.6275
_cell_angle_alpha 90.00
_cell_angle_beta 90.00
_cell_angle_gamma 120.00
_symmetry_space_group_name_H-M 'P 63/m m c'
_symmetry_Int_Tables_number 194
_symmetry_space_group_name_Hall '-P 6c 2c'
loop_
_atom_site_label
_atom_site_type_symbol
_atom_site_fract_x
_atom_site_fract_y
_atom_site_fract_z
_atom_site_occupancy
Ca1 Ca 0.3333 0.6667 0.2500 1
Ir1 Ir 0.1588 0.3176 0.7500 1
```

Calculated values
DOS at the Fermi energy in states/eV/cell: 13.57
E_form in eV per formula unit: 0.6

# 8
DFT (PBE) results for an optimized crystal structure of CaIr3.

```
data_CaIr3
_cell_length_a 4.8019
_cell_length_b 4.8019
_cell_length_c 2.8542
_cell_angle_alpha 90.00
_cell_angle_beta 90.00
_cell_angle_gamma 90.00
_symmetry_space_group_name_H-M 'P 4/m m m'
_symmetry_Int_Tables_number 123
_symmetry_space_group_name_Hall '-P 4 2'
loop_
_atom_site_label
_atom_site_type_symbol
_atom_site_fract_x
_atom_site_fract_y
_atom_site_fract_z
_atom_site_occupancy
Ca1 Ca 0.0000 0.0000 0.0000 1
Ir1 Ir 0.0000 0.5000 0.5000 1
Ir2 Ir 0.5000 0.5000 0.0000 1
```

Calculated values
DOS at the Fermi energy in states/eV/cell: 5.77
E_form in eV per formula unit: 0.8

# 9
DFT (PBE) results for an optimized crystal structure of CaIr5.

```
data_CaIr5
_cell_length_a 4.5369
_cell_length_b 2.7606
_cell_length_c 15.2600
_cell_angle_alpha 90.00
_cell_angle_beta 90.00
_cell_angle_gamma 90.00
_symmetry_space_group_name_H-M 'A m m 2'
_symmetry_Int_Tables_number 38
loop_
_symmetry_equiv_pos_as_xyz
'x,y,z'
'-x,-y,z'
'-x,y,z'
'x,-y,z'
'x,y+1/2,z+1/2'
'-x,-y+1/2,z+1/2'
'-x,y+1/2,z+1/2'
'x,-y+1/2,z+1/2'
loop_
_atom_site_label
_atom_site_type_symbol
_atom_site_fract_x
_atom_site_fract_y
_atom_site_fract_z
_atom_site_occupancy
Ca1 Ca 0.0000 0.0000 0.0000 1
Ir1 Ir 0.0000 0.0000 0.3293 1
Ir2 Ir 0.0000 0.0000 0.6756 1
Ir3 Ir 0.5000 0.0000 0.2232 1
Ir4 Ir 0.5000 0.0000 0.5733 1
Ir5 Ir 0.5000 0.0000 0.8820 1
```

Calculated values
DOS at the Fermi energy in states/eV/cell: 15.15
E_form in eV per formula unit: 0.8

# 10
DFT (PBE) results for an optimized crystal structure of Ca2Ir3.

```
data_Ca2Ir3
_cell_length_a 4.5730
_cell_length_b 4.5730
_cell_length_c 16.8565
_cell_angle_alpha 90.00
_cell_angle_beta 90.00
_cell_angle_gamma 120.00
_symmetry_space_group_name_H-M 'R -3 m'
_symmetry_Int_Tables_number 166
_symmetry_space_group_name_Hall '-R 3 2"'
loop_
_atom_site_label
_atom_site_type_symbol
_atom_site_fract_x
_atom_site_fract_y
_atom_site_fract_z
_atom_site_occupancy
Ca1 Ca 0.0000 0.0000 0.0999 1
Ir1 Ir 0.0000 0.0000 0.3464 1
Ir2 Ir 0.0000 0.0000 0.5000 1
```

Calculated values
DOS at the Fermi energy in states/eV/cell: 19.16
E_form in eV per formula unit: -0.6

# 11
DFT (PBE) results for an optimized crystal structure of Ca2Ir3.

```
data_Ca2Ir3
_cell_length_a 5.1405
_cell_length_b 10.1765
_cell_length_c 8.0732
_cell_angle_alpha 90.00
_cell_angle_beta 90.00
_cell_angle_gamma 90.00
_symmetry_space_group_name_H-M 'C m c e'
_symmetry_Int_Tables_number 64
_symmetry_space_group_name_Hall '-C 2ac 2'
loop_
_atom_site_label
_atom_site_type_symbol
_atom_site_fract_x
_atom_site_fract_y
_atom_site_fract_z
_atom_site_occupancy
Ca1 Ca 0.0000 0.1536 0.0964 1
Ir1 Ir 0.0000 0.0000 0.5000 1
Ir2 Ir 0.2500 0.0945 0.7500 1
```

Calculated values
DOS at the Fermi energy in states/eV/cell: 10.85
E_form in eV per formula unit: -1.9

# 12
DFT (PBE) results for an optimized crystal structure of CaIr3.

```
data_CaIr3
_cell_length_a 2.7755
_cell_length_b 3.9704
_cell_length_c 6.2127
_cell_angle_alpha 90.00
_cell_angle_beta 90.00
_cell_angle_gamma 90.00
_symmetry_space_group_name_H-M 'P m m m'
_symmetry_Int_Tables_number 47
loop_
_symmetry_equiv_pos_as_xyz
'x,y,z'
'-x,-y,-z'
'-x,-y,z'
'x,y,-z'
'x,-y,-z'
'-x,y,z'
'-x,y,-z'
'x,-y,z'
loop_
_atom_site_label
_atom_site_type_symbol
_atom_site_fract_x
_atom_site_fract_y
_atom_site_fract_z
_atom_site_occupancy
Ca1 Ca 0.0000 0.0000 0.0000 1
Ir1 Ir 0.0000 0.0000 0.5000 1
Ir2 Ir 0.5000 0.5000 0.2922 1
```

Calculated values
DOS at the Fermi energy in states/eV/cell: 5.04
E_form in eV per formula unit: 0.4

# 13
DFT (PBE) results for an optimized crystal structure of CaIr3.

```
data_CaIr3
_cell_length_a 2.8364
_cell_length_b 2.8364
_cell_length_c 9.3434
_cell_angle_alpha 90.00
_cell_angle_beta 90.00
_cell_angle_gamma 120.00
_symmetry_space_group_name_H-M 'P -6 m 2'
_symmetry_Int_Tables_number 187
_symmetry_space_group_name_Hall 'P -6 2'
loop_
_atom_site_label
_atom_site_type_symbol
_atom_site_fract_x
_atom_site_fract_y
_atom_site_fract_z
_atom_site_occupancy
Ca1 Ca 0.0000 0.0000 0.0000 1
Ir1 Ir 0.0000 0.0000 0.5000 1
Ir2 Ir 0.6667 0.3333 0.2665 1
```

Calculated values
DOS at the Fermi energy in states/eV/cell: 4.12
E_form in eV per formula unit: 1.0